# LiCuAg2Cl4

LiCuAg2Cl4 after structural relaxation (PBE, Alexandria via LeMat-Bulk).

Properties
Space-group type = Pmn2_1 (31)
Size of the total moment = 0.020 μB/atom
E_form (uncorrected) = -0.769 eV/atom

The structure in extended XYZ format:
```
16
Lattice="7.990 0.000 0.000 0.000 7.160 0.000 0.000 0.000 6.686" Properties=species:S:1:pos:R:3 pbc="T T T"
Li 0.000 1.128 0.000
Li 3.995 6.032 3.343
Cu 0.000 6.056 3.350
Cu 3.995 1.104 0.007
Ag 1.990 4.771 0.069
Ag 2.005 2.389 3.412
Ag 5.986 2.389 3.412
Ag 6.000 4.771 0.069
Cl 0.000 1.006 2.399
Cl 0.000 6.113 5.691
Cl 1.958 4.900 2.683
Cl 2.038 2.260 6.026
Cl 3.995 1.047 2.348
Cl 3.995 6.154 5.742
Cl 5.953 2.260 6.026
Cl 6.033 4.900 2.683
```